Entry 1:
Tb2ErScSe4 PBE optimized geometry; ρ = 7.59 g/cm³; total DFT energy (no corrections) = -0.2191 Ha/atom; uncorrected formation energy = -1.700 eV per atom; total moment = 0.00 μB per cell
1.0
3.987 0.000 0.000
0.000 6.953 0.132
0.000 -2.419 6.629
Er Tb Se Sc
1 2 4 1
Direct
0.500 0.500 0.000
0.500 0.000 0.500
0.000 0.500 0.500
0.500 0.760 0.763
0.500 0.240 0.237
0.000 0.248 0.760
0.000 0.752 0.240
0.000 0.000 0.000

Entry 2:
Li5NiAu6 PBE optimized geometry; ρ = 11.64 g/cm³; total DFT energy (no corrections) = -0.1233 Ha/atom; ΔE_f = -0.4366 eV/atom; total moment = 0.00 μB per cell
1.0
-1.501 3.618 1.924
-3.983 0.930 -4.857
-1.796 -5.939 4.486
Li Au Ni
5 6 1
Direct
0.335 0.835 0.670
0.000 0.500 0.000
0.665 0.165 0.330
0.333 0.334 0.668
0.667 0.666 0.332
0.500 0.246 0.000
0.834 0.082 0.669
0.500 0.754 0.000
0.834 0.586 0.669
0.166 0.414 0.331
0.166 0.918 0.331
0.000 0.000 0.000